Below is Er2SbAu after structural relaxation, with properties calculated at the PBE level.

Structure (POSCAR):
```
Er2SbAu
1.0
-0.7357 -0.4511 -3.7365
-3.2354 -3.7497 1.0897
-3.7818 3.3615 0.3387
Sb Au Er
1 1 2
Cartesian
-0.3678 -0.2256 -1.8682 Sb
-3.8764 -0.4197 -1.1540 Au
-1.8909 1.6807 0.1694 Er
-1.6177 -1.8749 0.5449 Er
```

Summary:
Energy relative to the elements, uncorrected   -800 meV/atom
Spin magnetization   0.1 μB per formula unit


Below is Er8Sb2Au after structural relaxation, with properties calculated at the PBE level.

Structure (POSCAR):
```
Er8Sb2Au
1.0
4.8209 0.0000 0.0000
0.0000 6.9413 0.5106
-2.4105 -2.2582 9.0673
Er Sb Au
8 2 1
Cartesian
0.0000 1.6682 7.6181 Er
2.4105 -0.4967 2.7954 Er
2.4105 3.2592 5.4909 Er
2.4105 -0.5894 9.0131 Er
0.0000 1.4239 4.0870 Er
0.0000 5.1797 6.7825 Er
2.4105 3.0149 1.9598 Er
0.0000 5.2725 0.5649 Er
2.4105 0.1324 5.9042 Sb
0.0000 4.5507 3.6737 Sb
2.4105 0.0000 0.0000 Au
```

Summary:
Energy relative to the elements, uncorrected   -479 meV/atom
Spin magnetization   0.0 μB per formula unit


Below is Er3Sb4Au3 after structural relaxation, with properties calculated at the PBE level.

Structure (POSCAR):
```
Er3Sb4Au3
1.0
-6.0482 -5.9565 1.1911
4.6975 -2.0329 -6.8760
5.0578 0.3584 6.9115
Er Sb Au
6 8 6
Cartesian
-3.4855 -5.6753 0.1872 Er
1.6397 -5.1130 -1.8207 Er
3.5008 -1.4296 5.4858 Er
0.3866 -5.0057 2.6345 Er
4.6188 -2.4337 -4.1398 Er
4.4613 -3.2354 1.3328 Er
-1.7646 -5.0674 -2.6279 Sb
0.4157 -2.7345 5.2960 Sb
5.7237 -1.2033 -1.2206 Sb
3.0395 -6.2566 1.0057 Sb
-2.1132 -2.9137 1.8403 Sb
1.2595 -2.0892 -3.2235 Sb
3.3749 -0.1869 2.2174 Sb
1.1859 -2.4412 0.3924 Sb
2.0675 -2.5179 3.0474 Au
7.1927 -1.9556 1.0394 Au
3.3206 -2.6253 -1.4079 Au
0.2064 -6.2013 -4.2592 Au
-0.7541 -4.3955 -0.1062 Au
-0.9116 -5.1972 5.3664 Au
```

Summary:
Energy relative to the elements, uncorrected   -784 meV/atom
Spin magnetization   0.0 μB per formula unit


Below is Er5SbAu2 after structural relaxation, with properties calculated at the PBE level.

Structure (POSCAR):
```
Er5SbAu2
1.0
8.5990 0.0290 0.0000
1.1238 8.5253 0.0000
-4.8614 -4.2772 5.6583
Er Sb Au
10 2 4
Cartesian
0.0000 0.0000 0.0000 Er
4.8614 4.2772 0.0000 Er
-3.2620 0.8984 4.5855 Er
5.3371 0.9274 1.0728 Er
2.7596 3.8569 2.8292 Er
-0.6845 -2.0312 2.8292 Er
8.1233 3.3788 1.0728 Er
-0.4757 3.3498 4.5855 Er
2.1018 0.4203 2.8292 Er
5.5459 6.3083 2.8292 Er
7.2921 6.4157 0.0000 Sb
2.4307 2.1386 0.0000 Sb
1.8688 -2.1241 4.3898 Au
2.9926 6.4012 1.2685 Au
-0.8379 0.9524 2.8292 Au
5.6993 3.3248 2.8292 Au
```

Summary:
Energy relative to the elements, uncorrected   -768 meV/atom
Spin magnetization   0.0 μB per formula unit


Below is Er3SbAu after structural relaxation, with properties calculated at the PBE level.

Structure (POSCAR):
```
Er3SbAu
1.0
-4.2494 -1.3683 2.5230
6.4098 -1.2969 4.8813
-1.3078 7.9393 2.1029
Er Sb Au
6 2 2
Cartesian
0.7889 3.6890 8.5402 Er
0.0638 1.5851 0.9670 Er
-0.6814 -1.1023 3.4656 Er
1.5340 6.3764 6.0416 Er
0.1512 1.1737 6.1022 Er
0.7015 4.1004 3.4051 Er
2.4193 3.2802 5.8535 Sb
-1.5666 1.9939 3.6537 Sb
-0.0728 6.8549 3.5948 Au
0.9255 -1.5808 5.9125 Au
```

Summary:
Energy relative to the elements, uncorrected   -489 meV/atom
Spin magnetization   0.0 μB per formula unit


Below is Er2SbAu after structural relaxation, with properties calculated at the PBE level.

Structure (POSCAR):
```
Er2SbAu
1.0
4.2573 0.0000 0.0000
2.1287 3.6870 0.0000
2.1287 1.2290 6.9996
Sb Au Er
1 1 2
Cartesian
4.2573 2.4580 3.4998 Sb
0.0000 0.0000 0.0000 Au
2.1287 1.2290 1.6626 Er
6.3860 3.6869 5.3370 Er
```

Summary:
Energy relative to the elements, uncorrected   -831 meV/atom
Spin magnetization   0.0 μB per formula unit


Below is Er2SbAu after structural relaxation, with properties calculated at the PBE level.

Structure (POSCAR):
```
Er2SbAu
1.0
-1.5586 -1.7594 3.8266
-2.6257 -2.2601 -2.1086
9.1929 -7.3722 0.3548
Er Sb Au
4 2 2
Cartesian
0.2860 -5.4359 1.5699 Er
4.7225 -5.9557 0.5028 Er
4.4394 -9.9172 1.2012 Er
0.5692 -1.4744 0.8715 Er
2.6231 -3.6904 0.6892 Sb
2.3855 -7.7012 1.3835 Sb
6.8181 -8.2167 0.3168 Au
-1.8095 -3.1749 1.7560 Au
```

Summary:
Energy relative to the elements, uncorrected   -897 meV/atom
Spin magnetization   0.0 μB per formula unit


Below is ErSbAu4 after structural relaxation, with properties calculated at the PBE level.

Structure (POSCAR):
```
ErSbAu4
1.0
5.6426 0.0000 0.0000
2.8213 4.8867 0.0000
2.8213 1.6289 4.6072
Sb Au Er
1 4 1
Cartesian
0.0000 0.0000 0.0000 Sb
5.6426 3.2578 0.5792 Au
5.6426 1.6320 2.8784 Au
7.0506 4.0707 2.8784 Au
4.2347 4.0707 2.8784 Au
2.8213 1.6289 1.1518 Er
```

Summary:
Energy relative to the elements, uncorrected   -380 meV/atom
Spin magnetization   0.0 μB per formula unit


Below is ErSc2Au after structural relaxation, with properties calculated at the PBE level.

Structure (POSCAR):
```
ErSc2Au
1.0
4.6993 0.0005 0.0000
-2.3490 5.5133 0.0000
0.0000 0.0000 7.5518
Er Sc Au
2 4 2
Cartesian
2.3500 4.9133 1.8879 Er
0.0003 0.6006 5.6638 Er
0.0002 3.8881 4.1112 Sc
2.3501 1.6257 3.4405 Sc
0.0002 3.8881 7.2164 Sc
2.3501 1.6257 0.3353 Sc
2.3498 3.1967 5.6638 Au
0.0006 2.3171 1.8879 Au
```

Summary:
Formation energy from the elements   -1.7 eV per formula unit
Relative energy among the computed polymorphs   0 meV/atom
Spin magnetization   0.0 μB per formula unit


Below is ErSc2Au after structural relaxation, with properties calculated at the PBE level.

Structure (POSCAR):
```
ErSc2Au
1.0
3.4661 0.0000 0.0000
0.0000 3.4661 0.0000
0.0000 0.0000 7.8534
Sc Au Er
2 1 1
Cartesian
0.0000 0.0000 6.2333 Sc
0.0000 0.0000 1.6201 Sc
1.7330 1.7330 0.0000 Au
1.7330 1.7330 3.9267 Er
```

Summary:
Formation energy from the elements   -1.4 eV per formula unit
Relative energy among the computed polymorphs   72 meV/atom
Spin magnetization   0.0 μB per formula unit


Below is Er3ScAu2 after structural relaxation, with properties calculated at the PBE level.

Structure (POSCAR):
```
Er3ScAu2
1.0
4.8956 0.0000 0.0000
0.0000 6.8324 0.0000
0.0000 0.0000 8.8376
Er Sc Au
6 2 4
Cartesian
0.0000 3.3390 8.2320 Er
0.0000 6.7551 0.6057 Er
2.4478 4.4687 1.5441 Er
2.4478 1.0525 7.2935 Er
0.0000 2.3539 2.9722 Er
0.0000 5.7700 5.8654 Er
2.4478 3.5025 5.0392 Sc
2.4478 0.0863 3.7984 Sc
2.4478 5.0209 7.4681 Au
2.4478 1.6047 1.3696 Au
0.0000 1.8122 5.7721 Au
0.0000 5.2284 3.0656 Au
```

Summary:
Formation energy from the elements   -3.8 eV per formula unit
Spin magnetization   0.0 μB per formula unit


Below is ErScAu after structural relaxation, with properties calculated at the PBE level.

Structure (POSCAR):
```
ErScAu
1.0
4.5144 0.0000 0.0000
0.0000 4.5144 0.0000
0.0000 0.0000 7.1219
Er Au Sc
2 2 2
Cartesian
0.0000 2.2572 6.1605 Er
2.2572 0.0000 0.9614 Er
0.0000 2.2572 1.8633 Au
2.2572 0.0000 5.2586 Au
2.2572 2.2572 3.5609 Sc
0.0000 0.0000 3.5609 Sc
```

Summary:
Formation energy from the elements   -1.8 eV per formula unit
Relative energy among the computed polymorphs   47 meV/atom
Spin magnetization   0.0 μB per formula unit


Below is Er2ScAu after structural relaxation, with properties calculated at the PBE level.

Structure (POSCAR):
```
Er2ScAu
1.0
3.5193 0.0000 0.0000
1.7596 3.0478 0.0000
1.7596 1.0159 10.5307
Sc Au Er
1 1 2
Cartesian
0.0000 0.0000 0.0000 Sc
3.5193 2.0319 5.2653 Au
1.7596 1.0159 7.3669 Er
5.2789 3.0478 3.1637 Er
```

Summary:
Formation energy from the elements   0.0 eV per formula unit
Relative energy among the computed polymorphs   394 meV/atom
Spin magnetization   0.6 μB per formula unit


Below is ErScAu after structural relaxation, with properties calculated at the PBE level.

Structure (POSCAR):
```
ErScAu
1.0
-1.5186 -2.5947 -1.7490
-1.6065 -1.0218 2.9108
-2.9529 5.3037 -1.8461
Sc Au Er
1 1 1
Cartesian
-2.7641 2.1398 -0.7745 Sc
-5.5533 1.2811 -0.5373 Au
-2.4838 -1.0951 0.3228 Er
```

Summary:
Formation energy from the elements   -1.6 eV per formula unit
Relative energy among the computed polymorphs   125 meV/atom
Spin magnetization   1.1 μB per formula unit


Below is ErSc3Au2 after structural relaxation, with properties calculated at the PBE level.

Structure (POSCAR):
```
ErSc3Au2
1.0
4.7120 0.0000 0.0000
0.0000 6.7804 0.0000
0.0000 0.0000 8.4638
Er Sc Au
2 6 4
Cartesian
2.3560 3.5062 4.8062 Er
2.3560 0.1160 3.6576 Er
0.0000 3.2663 7.9006 Sc
0.0000 6.6565 0.5632 Sc
2.3560 4.4098 1.4275 Sc
2.3560 1.0196 7.0363 Sc
0.0000 2.3714 2.7133 Sc
0.0000 5.7616 5.7505 Sc
2.3560 5.0754 7.2249 Au
2.3560 1.6852 1.2389 Au
0.0000 1.7120 5.5150 Au
0.0000 5.1022 2.9488 Au
```

Summary:
Formation energy from the elements   -3.9 eV per formula unit
Spin magnetization   0.0 μB per formula unit


Below is ErScAu after structural relaxation, with properties calculated at the PBE level.

Structure (POSCAR):
```
ErScAu
1.0
-1.6007 -3.1093 -3.3085
0.6740 -4.7271 0.6138
-7.1404 -3.0977 2.8633
Er Sc Au
2 2 2
Cartesian
-4.6388 -2.9199 1.4859 Er
-3.4284 -8.0143 -1.3173 Er
-1.4165 -5.2811 -1.3567 Sc
-6.6507 -5.6531 1.5254 Sc
-6.1037 -8.2045 0.1559 Au
-1.9634 -2.7298 0.0128 Au
```

Summary:
Formation energy from the elements   -1.3 eV per formula unit
Relative energy among the computed polymorphs   208 meV/atom
Spin magnetization   0.0 μB per formula unit


Below is Er2ScAu after structural relaxation, with properties calculated at the PBE level.

Structure (POSCAR):
```
Er2ScAu
1.0
3.6149 0.0000 0.0000
0.0000 3.6149 0.0000
0.0000 0.0000 7.6609
Sc Au Er
1 1 2
Cartesian
1.8074 1.8074 3.8305 Sc
1.8074 1.8074 0.0000 Au
0.0000 0.0000 5.9449 Er
0.0000 0.0000 1.7160 Er
```

Summary:
Formation energy from the elements   -1.6 eV per formula unit
Relative energy among the computed polymorphs   0 meV/atom
Spin magnetization   0.0 μB per formula unit


Below is ErSc5Au6 after structural relaxation, with properties calculated at the PBE level.

Structure (POSCAR):
```
ErSc5Au6
1.0
4.6706 0.0197 -1.3630
-0.9394 6.0139 -3.1316
-0.0827 0.4693 8.4072
Sc Au Er
5 6 1
Cartesian
2.9271 1.1669 1.3629 Sc
1.1852 2.3175 4.0949 Sc
-0.4697 3.0070 -1.5658 Sc
2.4633 4.1855 -0.1824 Sc
0.7215 5.3361 2.5496 Sc
3.2802 3.7727 2.6117 Au
3.7389 0.8391 4.1392 Au
1.6429 4.4426 -2.9898 Au
2.0883 1.5910 -1.5049 Au
-0.0904 5.6639 -0.2267 Au
0.3683 2.7303 1.3008 Au
0.0000 0.0000 0.0000 Er
```

Summary:
Formation energy from the elements   -9.7 eV per formula unit
Spin magnetization   0.0 μB per formula unit


Below is Er3Sc2Au3 after structural relaxation, with properties calculated at the PBE level.

Structure (POSCAR):
```
Er3Sc2Au3
1.0
-1.0980 -2.0936 2.6492
-2.7663 -2.6468 -3.2381
10.0076 -4.0029 -1.3952
Er Sc Au
3 2 3
Cartesian
6.1142 -4.8252 -1.2792 Er
0.0292 -3.9180 -0.7048 Er
-0.5490 -1.0468 1.3246 Er
2.9341 -4.7305 -2.5223 Sc
3.2093 -4.0128 0.5383 Sc
4.1123 -7.1404 -1.5590 Au
-1.3831 -1.3234 -1.6190 Au
2.0310 -1.6029 -0.4249 Au
```

Summary:
Formation energy from the elements   -5.3 eV per formula unit
Spin magnetization   0.0 μB per formula unit


Below is Er2ScAu3 after structural relaxation, with properties calculated at the PBE level.

Structure (POSCAR):
```
Er2ScAu3
1.0
4.9792 0.0000 0.0000
-2.4896 4.3121 0.0000
0.0000 0.0000 12.1923
Er Sc Au
4 2 6
Cartesian
0.0000 0.0000 6.0962 Er
0.0000 2.8747 2.0881 Er
2.4896 1.4374 10.1042 Er
0.0000 0.0000 0.0000 Er
0.0000 2.8747 8.1053 Sc
2.4896 1.4374 4.0870 Sc
0.0000 2.8747 5.1057 Au
2.4896 1.4374 1.0800 Au
0.0000 0.0000 9.0882 Au
0.0000 0.0000 3.1041 Au
0.0000 2.8747 11.1123 Au
2.4896 1.4374 7.0866 Au
```

Summary:
Formation energy from the elements   -5.1 eV per formula unit
Relative energy among the computed polymorphs   11 meV/atom
Spin magnetization   0.0 μB per formula unit